# Th4MnSe2S

A geometry-optimized Th4MnSe2S structure (GGA-PBE, the Alexandria database).

```
8
Lattice="4.0103 0.0000 0.0000 0.0000 7.2277 0.1274 0.0000 -2.5250 7.0326" Properties=species:S:1:pos:R:3 pbc="T T T"
S 0.0000 0.0000 0.0000
Th 2.0051 1.2206 1.6316
Se 0.0000 2.3513 3.5800
Th 2.0051 3.4821 5.5284
Se 2.0051 -1.2625 3.5163
Th 0.0000 0.0482 5.5790
Th 0.0000 4.6544 1.5810
Mn 2.0051 3.6138 0.0637
```

Values from the calculation:
uncorrected formation energy = -1.17 eV/atom
DOS(E_F) = 6.3 states/eV/f.u.
symmetry = No. 10

***

# FeTc5

A geometry-optimized FeTc5 structure (GGA-PBE, the Alexandria database).

```
6
Lattice="0.2946 4.5397 2.0186 -1.2553 -3.9020 2.8229 4.3702 -0.7108 0.9608" Properties=species:S:1:pos:R:3 pbc="T T T"
Tc 1.5574 -2.3064 1.8919
Tc 1.7047 -0.0366 2.9012
Tc 2.3324 1.9144 1.4897
Fe 0.0000 0.0000 0.0000
Tc -0.7387 -1.0881 2.5548
Tc -0.2220 1.7258 2.2867
```

Values from the calculation:
energy relative to the elements = 0.617 eV per atom
DOS(E_F) = 6.9 states/eV/f.u.
polymorph energy (0 for the lowest one) = 0.5774 eV per atom
symmetry = No. 191

***

# SrTa2P

A geometry-optimized SrTa2P structure (GGA-PBE, the Alexandria database).

```
4
Lattice="1.6812 4.3473 0.0517 -1.6812 4.3473 0.0517 0.0000 1.9801 6.5905" Properties=species:S:1:pos:R:3 pbc="T T T"
Ta 0.0000 8.1592 4.7922
Ta 0.0000 1.9356 5.9242
Sr 0.0000 2.2528 1.7641
P 0.0000 5.6444 4.1507
```

Values from the calculation:
energy relative to the elements = 0.068 eV per atom
DOS(E_F) = 4.0 states/eV/f.u.
symmetry = No. 8

***

# Be2NbRu

A geometry-optimized Be2NbRu structure (GGA-PBE, the Alexandria database).

```
4
Lattice="0.0967 -2.2450 3.4085 -3.4459 -0.7233 2.0663 -1.6184 -3.7480 0.0222" Properties=species:S:1:pos:R:3 pbc="T T T"
Nb 0.0000 0.0000 0.0000
Ru -2.4838 -3.3581 2.7485
Be -1.2419 -1.6791 1.3742
Be -3.7258 -5.0372 4.1227
```

Values from the calculation:
energy relative to the elements = -0.154 eV per atom
DOS(E_F) = 1.5 states/eV/f.u.
polymorph energy (0 for the lowest one) = 0.0404 eV per atom
symmetry = No. 225

***

# Rb2ZnTcAg

A geometry-optimized Rb2ZnTcAg structure (GGA-PBE, the Alexandria database).

```
5
Lattice="6.5430 0.0000 0.0000 0.0000 5.0577 0.0000 0.0000 0.0000 6.5430" Properties=species:S:1:pos:R:3 pbc="T T T"
Zn 0.0000 2.5289 0.0000
Rb 3.2715 0.0000 0.0000
Rb 0.0000 0.0000 3.2715
Tc 3.2715 2.5289 3.2715
Ag 0.0000 0.0000 0.0000
```

Values from the calculation:
energy relative to the elements = 1.155 eV per atom
DOS(E_F) = 7.0 states/eV/f.u.
symmetry = No. 123

***

# MnInCo2

A geometry-optimized MnInCo2 structure (GGA-PBE, the Alexandria database).

```
8
Lattice="6.6699 0.0000 0.0000 0.0000 6.6699 0.0000 3.3350 3.3350 2.6215" Properties=species:S:1:pos:R:3 pbc="T T T"
Co 1.9663 5.0024 0.6554
Co 8.3374 8.0386 1.9661
Mn 3.3350 3.3350 0.0000
In 6.6699 3.3350 1.3107
Mn 3.3350 6.6699 1.3107
Co 4.7037 1.6675 0.6554
In 0.0000 0.0000 0.0000
Co 5.0024 5.3012 1.9661
```

Values from the calculation:
energy relative to the elements = 0.559 eV per atom
DOS(E_F) = 3.6 states/eV/f.u.
symmetry = No. 122

***

# Y3Be

A geometry-optimized Y3Be structure (GGA-PBE, the Alexandria database).

```
8
Lattice="-2.2192 4.5296 -3.1561 -5.3957 -2.4993 0.2069 -1.1682 2.9393 5.0398" Properties=species:S:1:pos:R:3 pbc="T T T"
Y -1.9857 4.4693 2.2018
Be 0.0000 0.0000 0.0000
Y -1.9330 0.8448 2.5716
Y -3.2527 -0.1173 -0.6856
Y -4.6309 -0.4049 2.6751
Y -1.4016 2.9996 -0.3181
Be -4.3916 2.4848 1.0453
Y -4.3622 2.1475 -2.2636
```

Values from the calculation:
energy relative to the elements = 0.316 eV per atom
DOS(E_F) = 6.0 states/eV/f.u.
polymorph energy (0 for the lowest one) = 0.2521 eV per atom
symmetry = No. 223

***

# CsNbCl2

A geometry-optimized CsNbCl2 structure (GGA-PBE, the Alexandria database).

```
4
Lattice="0.0000 3.8532 3.8532 3.8532 0.0000 3.8532 3.8532 3.8532 0.0000" Properties=species:S:1:pos:R:3 pbc="T T T"
Cl 1.9266 1.9266 1.9266
Nb 0.0000 0.0000 0.0000
Cs 3.8532 3.8532 3.8532
Cl 5.7798 5.7798 5.7798
```

Values from the calculation:
uncorrected formation energy = -0.10 eV/atom
DOS(E_F) = 5.7 states/eV/f.u.
polymorph energy (0 for the lowest one) = 0.3786 eV per atom
symmetry = No. 225